1.
# Ac4Sb3

A relaxed Ac4Sb3 crystal (PBE, Alexandria via LeMat-Bulk).

total moment: 0.00 μB/atom
calculated total energy: -35.21 eV for the cell shown
ρ: 7.1 g cm⁻³

abc: 6.6916 6.6916 6.6916
angles: 90.00 90.00 90.00
Sites, in units of the cell vectors:
Ac 0.0000 0.0000 0.0000
Ac 0.0000 0.5000 0.5000
Ac 0.5000 0.0000 0.5000
Ac 0.5000 0.5000 0.0000
Sb 0.0000 0.0000 0.5000
Sb 0.0000 0.5000 0.0000
Sb 0.5000 0.0000 0.0000



2.
# NaDyEr

A relaxed NaDyEr crystal (PBE, Alexandria via LeMat-Bulk).

ΔH_f (0 K): 0.15 eV per atom
total moment: 0.00 μB/atom
calculated total energy: -10.04 eV for the cell shown
ρ: 6.0 g cm⁻³

abc: 3.5095 3.5095 9.1151
angles: 90.00 90.00 120.00
Sites, in units of the cell vectors:
Na 0.0000 0.0000 0.0000
Dy 0.3333 0.6667 0.6486
Er 0.6667 0.3333 0.3493



3.
# Nd6SiS2Br3

A relaxed Nd6SiS2Br3 crystal (PBE, Alexandria via LeMat-Bulk).

total moment: 0.00 μB/atom
calculated total energy: -64.59 eV for the cell shown
ρ: 6.1 g cm⁻³

abc: 9.7057 9.7057 8.6370
angles: 107.87 107.87 25.10
Sites, in units of the cell vectors:
Nd 0.0127 0.0127 0.2307
Nd 0.3230 0.3230 0.4477
Nd 0.3417 0.3417 0.8842
Nd 0.6583 0.6583 0.1158
Nd 0.6770 0.6770 0.5523
Nd 0.9873 0.9873 0.7693
Si 0.5000 0.5000 0.0000
S 0.1686 0.1686 0.3358
S 0.8314 0.8314 0.6642
Br 0.1642 0.1642 0.8332
Br 0.5000 0.5000 0.5000
Br 0.8358 0.8358 0.1668



4.
# LiNdGe2

A relaxed LiNdGe2 crystal (PBE, Alexandria via LeMat-Bulk).

ΔH_f (0 K): -0.52 eV per atom
total moment: 0.00 μB/atom
calculated total energy: -17.99 eV for the cell shown
ρ: 5.9 g cm⁻³

abc: 4.4034 4.4034 4.3034
angles: 90.00 90.00 90.00
Sites, in units of the cell vectors:
Li 0.0000 0.0000 0.0000
Nd 0.5000 0.5000 0.0000
Ge 0.0000 0.5000 0.5000
Ge 0.5000 0.0000 0.5000



Which value of ρ does entry 2 give? 6.0 g cm⁻³